# PBE Hf2TaIn, relaxed
data_Hf2TaIn
_chemical_formula_sum 'Hf8 Ta4 In4'
_space_group_name_H-M_alt 'I -4 2 d'
_space_group_IT_number 122
_space_group_name_Hall 'I -4 2bw'
_cell_length_a 4.141
_cell_length_b 4.141
_cell_length_c 20.866
_cell_angle_alpha 90.00
_cell_angle_beta 90.00
_cell_angle_gamma 90.00
loop_
_atom_site_label
_atom_site_fract_x
_atom_site_fract_y
_atom_site_fract_z
_atom_site_occupancy
Hf1 0.241 0.250 0.125 1
Ta1 0.000 0.000 0.000 1
In1 0.000 0.000 0.500 1
# - crystal system = tetragonal
# - E_tot (eV for the cell shown) = -128.92
# - Fermi-level density of states (states/eV per cell) = 10.677